[1]
First-principles (PBE) data for an optimized crystal structure of LaCo2Rh, as listed in the Alexandria database.

Energy of formation, eV/atom: -0.161

Cell: 7.338 4.236 5.412 Å, 90.00 116.78 90.00°
Space group C2/m (No. 12)
One atom of each set of equivalent atoms:
La (0.000, 0.000, 0.000) [2 per cell]
Co (0.184, 0.000, 0.552) [4 per cell]
Rh (0.000, 0.500, 0.500) [2 per cell]

---

[2]
First-principles (PBE) data for an optimized crystal structure of Tb4Cd2HgAu, as listed in the Alexandria database.

Energy of formation, eV/atom: -0.479

Cell: 5.2589 5.2589 25.6531 Å, 90.00 90.00 120.00°
Space group R-3m (No. 166, hexagonal axes)
One atom of each set of equivalent atoms:
Tb (0.0000, 0.0000, 0.1215) [6 per cell]
Tb (0.0000, 0.0000, 0.3722) [6 per cell]
Cd (0.0000, 0.0000, 0.2467) [6 per cell]
Hg (0.0000, 0.0000, 0.5000) [3 per cell]
Au (0.0000, 0.0000, 0.0000) [3 per cell]

---

[3]
First-principles (PBE) data for an optimized crystal structure of ZnIr4Rh, as listed in the Alexandria database.

Energy of formation, eV/atom: 0.496

Cell: 7.276 7.276 7.276 Å, 90.00 90.00 90.00°
Space group F-43m (No. 216)
One atom of each set of equivalent atoms:
Zn (0.000, 0.000, 0.000) [4 per cell]
Ir (0.125, 0.125, 0.375) [16 per cell]
Rh (0.250, 0.250, 0.750) [4 per cell]

---

[4]
First-principles (PBE) data for an optimized crystal structure of Fe2SiSe, as listed in the Alexandria database.

Raw formation energy, meV/atom: 24

Cell: 3.199 3.199 5.108 Å, 90.00 90.00 90.00°
Space group P4mm (No. 99)
One atom of each set of equivalent atoms:
Fe (0.000, 0.000, 0.000) [1 per cell]
Fe (0.500, 0.500, 0.328) [1 per cell]
Si (0.500, 0.500, 0.850) [1 per cell]
Se (0.000, 0.000, 0.497) [1 per cell]

---

no.,M_tot (μB per cell)
1,3.517
2,0.001
3,0.003
4,2.989